[1]
Below is crystalline CaDyPb at its relaxed geometry, with properties calculated at the PBE level.

Results
Density of states at the Fermi level   4.02 states/eV per cell
Crystal system   trigonal
Size of the total moment   0.00 μB/cell
Energy of formation from the pure elements   -0.232 eV per atom

Lattice parameters (Å, degrees): 5.3469 5.3469 3.7888 90.00 90.00 120.00
Space group P3m1 (No. 156)
Inequivalent atoms, fractional coordinates:
Ca 0.0000 0.0000 0.0000
Dy 0.6667 0.3333 0.5434
Pb 0.3333 0.6667 0.3142

---

[2]
Below is crystalline Ca2DyPb3 at its relaxed geometry, with properties calculated at the PBE level.

Results
Density of states at the Fermi level   12.68 states/eV per cell
Crystal system   orthorhombic
Size of the total moment   0.00 μB/cell
Energy of formation from the pure elements   -0.487 eV per atom

Lattice parameters (Å, degrees): 5.069 15.355 9.072 90.00 90.00 90.00
Space group Cmmm (No. 65)
Inequivalent atoms, fractional coordinates:
Ca 0.000 0.000 0.000
Ca 0.000 0.000 0.500
Ca 0.000 0.335 0.000
Dy 0.000 0.335 0.500
Pb 0.000 0.168 0.255
Pb 0.000 0.500 0.254

---

[3]
Below is crystalline CaDy5Pb6 at its relaxed geometry, with properties calculated at the PBE level.

Results
Density of states at the Fermi level   18.74 states/eV per cell
Crystal system   monoclinic
Size of the total moment   0.00 μB/cell
Energy of formation from the pure elements   -0.436 eV per atom

Lattice parameters (Å, degrees): 16.882 7.157 5.704 90.00 97.63 90.00
Space group C2/m (No. 12)
Inequivalent atoms, fractional coordinates:
Ca 0.000 0.000 0.000
Dy 0.000 0.500 0.000
Dy 0.166 0.000 0.665
Dy 0.166 0.500 0.662
Pb 0.000 0.252 0.500
Pb 0.168 0.251 0.165

---

Which value of density of states at the Fermi level does entry 3 give?
18.74 states/eV per cell